1.
Density functional theory data (PBE) for a relaxed structure of MgFeSiNi.

a b c (Å): 5.723 5.723 5.723
angles (deg): 90.00 90.00 90.00
Space group F-43m (No. 216)
Symmetry-distinct sites (fractional):
Mg (0.000, 0.000, 0.000) [4 per cell]
Fe (0.250, 0.250, 0.750) [4 per cell]
Si (0.000, 0.000, 0.500) [4 per cell]
Ni (0.250, 0.250, 0.250) [4 per cell]

Summary:
VASP energy: -87.22 eV for the cell shown

2.
Density functional theory data (PBE) for a relaxed structure of BiSbPt2.

a b c (Å): 4.3066 4.3066 5.5926
angles (deg): 90.00 90.00 120.00
Space group P-6m2 (No. 187)
Symmetry-distinct sites (fractional):
Bi (0.0000, 0.0000, 0.0000) [1 per cell]
Sb (0.6667, 0.3333, 0.5000) [1 per cell]
Pt (0.3333, 0.6667, 0.2555) [2 per cell]

Summary:
VASP energy: -21.64 eV for the cell shown

3.
Density functional theory data (PBE) for a relaxed structure of DyF4.

a b c (Å): 6.117 10.232 4.750
angles (deg): 90.00 100.95 90.00
Space group C2/m (No. 12)
Symmetry-distinct sites (fractional):
Dy (0.000, 0.172, 0.000) [4 per cell]
F (0.091, 0.500, 0.422) [4 per cell]
F (0.104, 0.000, 0.787) [4 per cell]
F (0.178, 0.288, 0.738) [8 per cell]

Summary:
VASP energy: -110.93 eV for the cell shown

4.
Density functional theory data (PBE) for a relaxed structure of Sc2Os2C.

a b c (Å): 4.806 9.726 3.292
angles (deg): 90.00 90.00 90.00
Space group Pbam (No. 55)
Symmetry-distinct sites (fractional):
Sc (0.250, 0.125, 0.000) [4 per cell]
Os (0.229, 0.362, 0.500) [4 per cell]
C (0.000, 0.000, 0.500) [2 per cell]

Summary:
VASP energy: -92.32 eV for the cell shown

5.
Density functional theory data (PBE) for a relaxed structure of ErTmAg2Sb4.

a b c (Å): 4.314 4.314 10.374
angles (deg): 90.00 90.00 90.00
Space group P4mm (No. 99)
Symmetry-distinct sites (fractional):
Er (0.000, 0.000, 0.000) [1 per cell]
Tm (0.500, 0.500, 0.529) [1 per cell]
Ag (0.000, 0.500, 0.265) [2 per cell]
Sb (0.000, 0.000, 0.452) [1 per cell]
Sb (0.000, 0.500, 0.764) [2 per cell]
Sb (0.500, 0.500, 0.077) [1 per cell]

Summary:
VASP energy: -35.75 eV for the cell shown

6.
Density functional theory data (PBE) for a relaxed structure of SmScAg.

a b c (Å): 6.771 6.771 6.771
angles (deg): 90.00 90.00 90.00
Space group F-43m (No. 216)
Symmetry-distinct sites (fractional):
Sm (0.000, 0.000, 0.000) [4 per cell]
Sc (0.250, 0.250, 0.750) [4 per cell]
Ag (0.000, 0.000, 0.500) [4 per cell]

Summary:
Calculated formation energy: 0.449 eV per atom

7.
Density functional theory data (PBE) for a relaxed structure of AlCdGaTe4.

a b c (Å): 6.242 6.242 12.040
angles (deg): 90.00 90.00 90.00
Space group I-4 (No. 82)
Symmetry-distinct sites (fractional):
Al (0.000, 0.000, 0.000) [2 per cell]
Cd (0.000, 0.500, 0.750) [2 per cell]
Ga (0.000, 0.500, 0.250) [2 per cell]
Te (0.225, 0.747, 0.388) [8 per cell]

Summary:
VASP energy: -46.43 eV for the cell shown

8.
Density functional theory data (PBE) for a relaxed structure of HfZr2P4Pt4.

a b c (Å): 6.039 6.039 11.873
angles (deg): 90.00 90.00 90.00
Space group I-42m (No. 121)
Symmetry-distinct sites (fractional):
Hf (0.000, 0.000, 0.000) [2 per cell]
Zr (0.000, 0.500, 0.250) [4 per cell]
P (0.000, 0.000, 0.256) [4 per cell]
P (0.000, 0.500, 0.000) [4 per cell]
Pt (0.250, 0.250, 0.376) [8 per cell]

Summary:
VASP energy: -162.76 eV for the cell shown